Record 1
# Ga3Au, optimized geometry, DFT PBE-GGA
# DOS(E_F) = 0.99 states/eV/atom
# ΔE_f = 0.01 eV/atom
# Excess energy over the best structure of this formula in the dataset = 0.513 eV/f.u.
data_Ga3Au
_cell_length_a 6.709
_cell_length_b 6.709
_cell_length_c 6.709
_cell_angle_alpha 90.00
_cell_angle_beta 90.00
_cell_angle_gamma 90.00
_space_group_name_H-M_alt 'F m -3 m'
_space_group_IT_number 225
_space_group_name_Hall '-F 4 2 3'
loop_
_atom_site_label
_atom_site_fract_x
_atom_site_fract_y
_atom_site_fract_z
Ga1 0.000 0.000 0.000
Ga2 0.250 0.250 0.250
Au1 0.000 0.000 0.500

Record 2
# Ga2Au, optimized geometry, DFT PBE-GGA
# DOS(E_F) = 0.26 states/eV/atom
# ΔE_f = -0.09 eV/atom
data_Ga2Au
_cell_length_a 5.234
_cell_length_b 5.440
_cell_length_c 4.599
_cell_angle_alpha 90.00
_cell_angle_beta 121.99
_cell_angle_gamma 90.00
_space_group_name_H-M_alt 'C 1 2/m 1'
_space_group_IT_number 12
_space_group_name_Hall '-C 2y'
loop_
_atom_site_label
_atom_site_fract_x
_atom_site_fract_y
_atom_site_fract_z
Ga1 0.169 0.000 0.327
Au1 0.000 0.500 0.000

Record 3
# GaAu3, optimized geometry, DFT PBE-GGA
# DOS(E_F) = 0.33 states/eV/atom
# ΔE_f = -0.07 eV/atom
data_GaAu3
_cell_length_a 4.072
_cell_length_b 4.072
_cell_length_c 8.583
_cell_angle_alpha 90.00
_cell_angle_beta 90.00
_cell_angle_gamma 90.00
_space_group_name_H-M_alt 'I 4/m m m'
_space_group_IT_number 139
_space_group_name_Hall '-I 4 2'
loop_
_atom_site_label
_atom_site_fract_x
_atom_site_fract_y
_atom_site_fract_z
Ga1 0.000 0.000 0.000
Au1 0.000 0.000 0.500
Au2 0.000 0.500 0.250

Record 4
# Ga3Au, optimized geometry, DFT PBE-GGA
# DOS(E_F) = 0.33 states/eV/atom
# ΔE_f = -0.03 eV/atom
# Excess energy over the best structure of this formula in the dataset = 0.337 eV/f.u.
data_Ga3Au
_cell_length_a 6.2006
_cell_length_b 6.2006
_cell_length_c 4.5277
_cell_angle_alpha 90.00
_cell_angle_beta 90.00
_cell_angle_gamma 120.00
_space_group_name_H-M_alt 'P 63/m m c'
_space_group_IT_number 194
_space_group_name_Hall '-P 6c 2c'
loop_
_atom_site_label
_atom_site_fract_x
_atom_site_fract_y
_atom_site_fract_z
Ga1 0.1689 0.3378 0.2500
Au1 0.3333 0.6667 0.7500

Record 5
# Ga3Au2, optimized geometry, DFT PBE-GGA
# DOS(E_F) = 0.54 states/eV/atom
# ΔE_f = -0.12 eV/atom
data_Ga3Au2
_cell_length_a 6.5597
_cell_length_b 6.5597
_cell_length_c 17.3641
_cell_angle_alpha 90.00
_cell_angle_beta 90.00
_cell_angle_gamma 120.00
_space_group_name_H-M_alt 'R -3 c'
_space_group_IT_number 167
_space_group_name_Hall '-R 3 2"c'
loop_
_atom_site_label
_atom_site_fract_x
_atom_site_fract_y
_atom_site_fract_z
Ga1 0.0000 0.3440 0.2500
Au1 0.0000 0.0000 0.1643

Record 6
# Ga3Au, optimized geometry, DFT PBE-GGA
# DOS(E_F) = 0.23 states/eV/atom
# ΔE_f = -0.05 eV/atom
# Excess energy over the best structure of this formula in the dataset = 0.252 eV/f.u.
data_Ga3Au
_cell_length_a 3.303
_cell_length_b 5.340
_cell_length_c 4.316
_cell_angle_alpha 90.00
_cell_angle_beta 90.00
_cell_angle_gamma 90.00
_space_group_name_H-M_alt 'P m m 2'
_space_group_IT_number 25
_space_group_name_Hall 'P 2 -2'
loop_
_atom_site_label
_atom_site_fract_x
_atom_site_fract_y
_atom_site_fract_z
Ga1 0.000 0.000 0.000
Ga2 0.000 0.500 0.233
Ga3 0.500 0.000 0.508
Au1 0.500 0.500 0.721

Record 7
# Ga2Au, optimized geometry, DFT PBE-GGA
# DOS(E_F) = 0.20 states/eV/atom
# ΔE_f = -0.12 eV/atom
data_Ga2Au
_cell_length_a 3.567
_cell_length_b 9.389
_cell_length_c 6.943
_cell_angle_alpha 90.00
_cell_angle_beta 105.63
_cell_angle_gamma 90.00
_space_group_name_H-M_alt 'P 1 21/c 1'
_space_group_IT_number 14
_space_group_name_Hall '-P 2ybc'
loop_
_atom_site_label
_atom_site_fract_x
_atom_site_fract_y
_atom_site_fract_z
Ga1 0.075 0.127 0.424
Ga2 0.422 0.127 0.075
Au1 0.252 0.620 0.750

Record 8
# Ga2Au13, optimized geometry, DFT PBE-GGA
# DOS(E_F) = 0.20 states/eV/atom
# ΔE_f = -0.03 eV/atom
# Excess energy over the best structure of this formula in the dataset = 0.000 eV/f.u.
data_Ga2Au13
_cell_length_a 6.941
_cell_length_b 7.145
_cell_length_c 7.246
_cell_angle_alpha 63.22
_cell_angle_beta 62.14
_cell_angle_gamma 68.40
_space_group_name_H-M_alt 'P -1'
_space_group_IT_number 2
_space_group_name_Hall '-P 1'
loop_
_atom_site_label
_atom_site_fract_x
_atom_site_fract_y
_atom_site_fract_z
Ga1 0.224 0.205 0.186
Au1 0.000 0.500 0.500
Au2 0.109 0.631 0.015
Au3 0.147 0.069 0.729
Au4 0.180 0.810 0.504
Au5 0.346 0.866 0.047
Au6 0.356 0.369 0.715
Au7 0.461 0.298 0.316

Record 9
# Ga3Au13, optimized geometry, DFT PBE-GGA
# DOS(E_F) = 0.25 states/eV/atom
# ΔE_f = -0.05 eV/atom
data_Ga3Au13
_cell_length_a 6.352
_cell_length_b 9.053
_cell_length_c 10.015
_cell_angle_alpha 90.00
_cell_angle_beta 90.00
_cell_angle_gamma 90.00
_space_group_name_H-M_alt 'A m m 2'
_space_group_IT_number 38
_space_group_name_Hall 'A 2 -2'
loop_
_atom_site_label
_atom_site_fract_x
_atom_site_fract_y
_atom_site_fract_z
Ga1 0.000 0.000 0.000
Ga2 0.253 0.000 0.716
Au1 0.000 0.000 0.474
Au2 0.000 0.239 0.657
Au3 0.239 0.231 0.905
Au4 0.248 0.000 0.232
Au5 0.500 0.000 0.472
Au6 0.500 0.000 0.990
Au7 0.500 0.238 0.662

Record 10
# Ga2Au, optimized geometry, DFT PBE-GGA
# DOS(E_F) = 0.48 states/eV/atom
# ΔE_f = -0.23 eV/atom
data_Ga2Au
_cell_length_a 6.227
_cell_length_b 6.227
_cell_length_c 6.227
_cell_angle_alpha 90.00
_cell_angle_beta 90.00
_cell_angle_gamma 90.00
_space_group_name_H-M_alt 'F m -3 m'
_space_group_IT_number 225
_space_group_name_Hall '-F 4 2 3'
loop_
_atom_site_label
_atom_site_fract_x
_atom_site_fract_y
_atom_site_fract_z
Ga1 0.250 0.250 0.250
Au1 0.000 0.000 0.000

Record 11
# Ga4Au, optimized geometry, DFT PBE-GGA
# DOS(E_F) = 0.36 states/eV/atom
# ΔE_f = 0.01 eV/atom
# Excess energy over the best structure of this formula in the dataset = 0.258 eV/f.u.
data_Ga4Au
_cell_length_a 7.311
_cell_length_b 7.311
_cell_length_c 3.720
_cell_angle_alpha 90.00
_cell_angle_beta 90.00
_cell_angle_gamma 90.00
_space_group_name_H-M_alt 'I 4/m'
_space_group_IT_number 87
_space_group_name_Hall '-I 4'
loop_
_atom_site_label
_atom_site_fract_x
_atom_site_fract_y
_atom_site_fract_z
Ga1 0.005 0.714 0.000
Au1 0.000 0.000 0.500

Record 12
# Ga2Au13, optimized geometry, DFT PBE-GGA
# DOS(E_F) = 0.29 states/eV/atom
# ΔE_f = 0.06 eV/atom
# Excess energy over the best structure of this formula in the dataset = 1.327 eV/f.u.
data_Ga2Au13
_cell_length_a 7.3419
_cell_length_b 7.3419
_cell_length_c 20.4224
_cell_angle_alpha 90.00
_cell_angle_beta 90.00
_cell_angle_gamma 120.00
_space_group_name_H-M_alt 'R -3 m'
_space_group_IT_number 166
_space_group_name_Hall '-R 3 2"'
loop_
_atom_site_label
_atom_site_fract_x
_atom_site_fract_y
_atom_site_fract_z
Ga1 0.0000 0.0000 0.1320
Au1 0.0000 0.0000 0.0000
Au2 0.0709 0.5355 0.4329
Au3 0.0854 0.5427 0.2920

Record 13
# Ga3Au, optimized geometry, DFT PBE-GGA
# DOS(E_F) = 0.44 states/eV/atom
# ΔE_f = -0.04 eV/atom
# Excess energy over the best structure of this formula in the dataset = 0.286 eV/f.u.
data_Ga3Au
_cell_length_a 4.198
_cell_length_b 4.198
_cell_length_c 4.198
_cell_angle_alpha 90.00
_cell_angle_beta 90.00
_cell_angle_gamma 90.00
_space_group_name_H-M_alt 'P m -3 m'
_space_group_IT_number 221
_space_group_name_Hall '-P 4 2 3'
loop_
_atom_site_label
_atom_site_fract_x
_atom_site_fract_y
_atom_site_fract_z
Ga1 0.000 0.000 0.500
Au1 0.500 0.500 0.500

Record 14
# GaAu3, optimized geometry, DFT PBE-GGA
# DOS(E_F) = 0.30 states/eV/atom
# ΔE_f = -0.11 eV/atom
data_GaAu3
_cell_length_a 3.226
_cell_length_b 12.016
_cell_length_c 7.426
_cell_angle_alpha 90.00
_cell_angle_beta 90.00
_cell_angle_gamma 90.00
_space_group_name_H-M_alt 'C m c m'
_space_group_IT_number 63
_space_group_name_Hall '-C 2c 2'
loop_
_atom_site_label
_atom_site_fract_x
_atom_site_fract_y
_atom_site_fract_z
Ga1 0.000 0.243 0.250
Au1 0.000 0.121 0.556
Au2 0.000 0.445 0.750